(1)
This record from Alexandria describes a relaxed structure of Li3TlGe. The functional is PBE-GGA.

Lattice parameters (Å, degrees): 3.454 8.338 6.905 90.00 90.00 90.00
Positions (direct):
Li 0.250 0.027 0.171
Li 0.250 0.250 0.778
Li 0.250 0.473 0.171
Li 0.750 0.527 0.829
Li 0.750 0.750 0.222
Li 0.750 0.973 0.829
Tl 0.250 0.750 0.543
Tl 0.750 0.250 0.457
Ge 0.250 0.750 0.947
Ge 0.750 0.250 0.053

Values from the calculation:
SG ... No. 59
Calculated volume ... 198.9 Å³ per cell
Total magnetic moment ... 0.0 μB/f.u.
Density ... 4.97 Mg/m³
ΔE_f ... -0.20 eV/atom
Offset from the most stable computed form ... 42 meV/atom
Crystal system ... orthorhombic



(2)
This record from Alexandria describes a relaxed structure of CeNpBiO2. The functional is PBE-GGA.

Lattice parameters (Å, degrees): 3.974 3.974 13.133 90.00 90.00 90.00
Positions (direct):
Ce 0.000 0.000 0.000
Ce 0.500 0.500 0.500
Np 0.000 0.000 0.317
Np 0.500 0.500 0.817
Bi 0.000 0.000 0.662
Bi 0.500 0.500 0.162
O 0.000 0.500 0.406
O 0.000 0.500 0.906
O 0.500 0.000 0.406
O 0.500 0.000 0.906

Values from the calculation:
SG ... No. 107
Calculated volume ... 207.4 Å³ per cell
Formation energy from raw total energies ... -2.28 eV/atom
Total magnetic moment ... 4.5 μB/f.u.
Density ... 9.90 Mg/m³
Crystal system ... tetragonal



(3)
This record from Alexandria describes a relaxed structure of LiEr5Bi6. The functional is PBE-GGA.

Lattice parameters (Å, degrees): 7.689 7.689 7.681 99.56 99.56 120.11
Positions (direct):
Li 0.000 0.000 0.000
Er 0.167 0.833 0.500
Er 0.333 0.667 0.000
Er 0.500 0.500 0.500
Er 0.667 0.333 0.000
Er 0.833 0.167 0.500
Bi 0.083 0.412 0.247
Bi 0.248 0.248 0.751
Bi 0.412 0.083 0.247
Bi 0.588 0.917 0.753
Bi 0.752 0.752 0.249
Bi 0.917 0.588 0.753

Values from the calculation:
SG ... No. 12
Calculated volume ... 370.4 Å³ per cell
Total magnetic moment ... 0.0 μB/f.u.
Density ... 9.40 Mg/m³
ΔE_f ... -0.66 eV/atom
Crystal system ... monoclinic